Compound: AlCo2Re
Source: Alexandria
Functional: PBEsol
Structure: relaxed Values from VASP.

```
&SYSTEM
  ibrav = 0, nat = 12, ntyp = 3
/
ATOMIC_SPECIES
Al 26.98 Al.upf
Co 58.93 Co.upf
Re 186.21 Re.upf
CELL_PARAMETERS angstrom
2.655 0.000 0.000
-1.328 2.299 0.000
0.000 0.000 23.961
ATOMIC_POSITIONS angstrom
Al 0.000 0.000 0.000
Al 0.000 1.533 15.974
Al 1.328 0.766 7.987
Co 0.000 0.000 14.025
Co 0.000 0.000 17.908
Co 0.000 1.533 6.038
Co 0.000 1.533 9.921
Co 1.328 0.766 1.934
Co 1.328 0.766 22.012
Re 0.000 0.000 3.983
Re 0.000 1.533 19.956
Re 1.328 0.766 11.970
```

Calculated values
E_form = -0.0970 eV per atom
E_tot = -99.9 eV for the cell shown
crystal system = trigonal

---

Compound: AlCo2Re
Source: Alexandria
Functional: PBEsol
Structure: relaxed Values from VASP.

```
&SYSTEM
  ibrav = 0, nat = 4, ntyp = 3
/
ATOMIC_SPECIES
Al 26.98 Al.upf
Co 58.93 Co.upf
Re 186.21 Re.upf
CELL_PARAMETERS angstrom
2.667 0.000 0.000
0.000 2.667 0.000
0.000 0.000 6.601
ATOMIC_POSITIONS angstrom
Al 0.000 0.000 0.000
Co 1.334 1.334 1.577
Co 1.334 1.334 5.024
Re 0.000 0.000 3.301
```

Calculated values
E_form = -0.2894 eV per atom
E_tot = -34.1 eV for the cell shown
crystal system = tetragonal

---

Compound: AlCoRe2
Source: Alexandria
Functional: PBEsol
Structure: relaxed Values from VASP.

```
&SYSTEM
  ibrav = 0, nat = 8, ntyp = 3
/
ATOMIC_SPECIES
Al 26.98 Al.upf
Co 58.93 Co.upf
Re 186.21 Re.upf
CELL_PARAMETERS angstrom
3.653 0.000 0.000
0.000 3.653 0.000
0.000 0.000 7.943
ATOMIC_POSITIONS angstrom
Al 0.000 0.000 0.000
Al 1.827 1.827 3.972
Co 0.000 0.000 3.972
Co 1.827 1.827 0.000
Re 0.000 1.827 1.986
Re 0.000 1.827 5.957
Re 1.827 0.000 1.986
Re 1.827 0.000 5.957
```

Calculated values
E_form = -0.0182 eV per atom
E_tot = -77.1 eV for the cell shown
crystal system = tetragonal

---

Which of these has the lowest E_tot? number 1